1.
Entry from Alexandria: a relaxed Sm2TmP3Ir12 crystal (PBE).

The value obtained for the total energy is -138.45 eV/f.u. Its total magnetization is 0.00 μB per formula unit.

The space group is R-3m (No. 166, hexagonal axes) and the conventional cell measures 9.1389, 9.1389 and 12.8064 Å, with angles of 90.00, 90.00 and 120.00 degrees. Symmetry generates all atoms from Sm at (0.0000, 0.0000, 0.1337), Tm at (0.0000, 0.0000, 0.5000), P at (0.0000, 0.5000, 0.0000), Ir at (0.0044, 0.5022, 0.8256) and Ir at (0.0127, 0.5063, 0.3820).



2.
Entry from Alexandria: a relaxed Pu2ThFe crystal (PBE).

The value obtained for the total energy is -43.10 eV/f.u. Its total magnetization is 9.91 μB per formula unit.

The space group is R-3m (No. 166, hexagonal axes) and the conventional cell measures 3.4734, 3.4734 and 29.5881 Å, with angles of 90.00, 90.00 and 120.00 degrees. Symmetry generates all atoms from Pu at (0.0000, 0.0000, 0.1090), Th at (0.0000, 0.0000, 0.0000) and Fe at (0.0000, 0.0000, 0.5000).



3.
Entry from Alexandria: a relaxed Nb4VW3 crystal (PBE).

The value obtained for the total energy is -88.55 eV/f.u. Its total magnetization is 0.00 μB per formula unit.

The space group is Pmmn (No. 59, origin choice 2) and the conventional cell measures 4.5415, 9.0805 and 6.5173 Å, with angles of 90.00, 90.00 and 90.00 degrees. Symmetry generates all atoms from Nb at (0.2500, 0.0011, 0.1310), Nb at (0.2500, 0.2500, 0.8684), Nb at (0.2500, 0.7500, 0.8665), V at (0.2500, 0.2500, 0.3846), W at (0.2500, 0.5005, 0.6177) and W at (0.2500, 0.7500, 0.3814).



4.
Entry from Alexandria: a relaxed K2ICl crystal (PBE).

The formation energy (no corrections) comes out at -1682 meV per atom. Its total magnetization is 0.00 μB per formula unit.

The space group is R3m (No. 160, hexagonal axes) and the conventional cell measures 4.6843, 4.6843 and 24.6388 Å, with angles of 90.00, 90.00 and 120.00 degrees. Symmetry generates all atoms from K at (0.0000, 0.0000, 0.0000), K at (0.0000, 0.0000, 0.1854), I at (0.0000, 0.0000, 0.7606) and Cl at (0.0000, 0.0000, 0.5914).



5.
Entry from Alexandria: a relaxed Ho2SnSe crystal (PBE).

The formation energy (no corrections) comes out at -1080 meV per atom. Its total magnetization is 0.00 μB per formula unit.

The space group is R3m (No. 160, hexagonal axes) and the conventional cell measures 3.8239, 3.8239 and 24.8133 Å, with angles of 90.00, 90.00 and 120.00 degrees. Symmetry generates all atoms from Ho at (0.0000, 0.0000, 0.0000), Ho at (0.0000, 0.0000, 0.1525), Sn at (0.0000, 0.0000, 0.5770) and Se at (0.0000, 0.0000, 0.4086).



6.
Entry from Alexandria: a relaxed Ce3GaRh5 crystal (PBE).

The value obtained for the total energy is -62.22 eV/f.u. Its total magnetization is 0.00 μB per formula unit.

The space group is I4/mcm (No. 140) and the conventional cell measures 7.9704, 7.9704 and 11.1948 Å, with angles of 90.00, 90.00 and 90.00 degrees. Symmetry generates all atoms from Ce at (0.0000, 0.0000, 0.2500), Ce at (0.1376, 0.3624, 0.0000), Ga at (0.0000, 0.5000, 0.2500), Rh at (0.0000, 0.0000, 0.0000) and Rh at (0.1921, 0.3079, 0.3604).